A relaxed CsCuPb2 crystal. Source: Alexandria via LeMat-Bulk, functional GGA-PBE.

It has space group Fm-3m (No. 225), with a = 7.972 Å, b = 7.972 Å, c = 7.972 Å, α = 90.00°, β = 90.00° and γ = 90.00°. Symmetry generates all atoms from Cs at (0.000, 0.000, 0.000), Cu at (0.000, 0.000, 0.500) and Pb at (0.250, 0.250, 0.250).

The value obtained for the size of the total moment is 0.000 μB per atom. Its energy relative to the elements is 0.487 eV/atom. As for the density of states at the Fermi level: 0.293 states/eV/atom. The calculation puts the energy above the most stable polymorph in this dataset at 0.400 eV/atom. Its raw total energy is -2.60 eV per atom.